Density functional theory data (PBE with a Hubbard U) for crystalline Rb2NpW3O12 at its relaxed geometry.

abc: 7.4541 7.4541 18.8849
angles: 90.00 90.00 120.00
Last column: nearest neighbours and their distance in Å.
Space group R-3m (No. 166, hexagonal axes)
Unique sites:
Rb1 0.0000 0.0000 0.1279 [6 per cell]  6 O 3.21-3.45
Np1 0.0000 0.0000 0.5000 [3 per cell]  6 O 2.16
W1 0.0000 0.5000 0.0000 [9 per cell]  6 O 1.95
O1 0.0600 0.5300 0.1011 [18 per cell]  1 W 1.95, 1 Np 2.16
O2 0.0863 0.5431 0.3479 [18 per cell]  2 W 1.95

- Crystal system: trigonal
- DFT total energy: -7.566 eV/atom

---

Density functional theory data (PBE with a Hubbard U) for crystalline LiOsWO6 at its relaxed geometry.

abc: 4.7577 4.7577 9.0314
angles: 90.00 90.00 90.00
Last column: nearest neighbours and their distance in Å.
Space group P4_2nm (No. 102)
Unique sites:
Li1 0.0000 0.0000 0.0000 [2 per cell]  6 O 2.12-2.19
Os1 0.0000 0.0000 0.3262 [2 per cell]  6 O 1.95-1.98
W1 0.0000 0.0000 0.6691 [2 per cell]  6 O 1.92-1.98
O1 0.1833 0.1833 0.4973 [4 per cell]  1 Os 1.98, 1 W 1.98, 1 Li 2.13
O2 0.2078 0.2078 0.1758 [4 per cell]  1 Os 1.95, 1 W 1.97, 1 Li 2.12
O3 0.2083 0.2083 0.8143 [4 per cell]  1 W 1.92, 1 Os 1.97

- Crystal system: tetragonal
- DFT total energy: -7.135 eV/atom

---

Number 1: magnetization 3.0 μB/f.u., N(E_F) 15.3 states/eV per cell. Number 2: magnetization 2.7 μB/f.u., N(E_F) 5.7 states/eV per cell.